No. 1
The following is a PBE-GGA calculation of crystalline Ta4TlSN2 at its relaxed geometry, from OQMD.

Results
Calculated total energy   -9.28 eV per atom
Spin magnetization   0.000 μB/atom

Cell lengths 3.0785, 3.0785, 13.8724 Å; angles 90.00, 90.00, 120.00 degrees
Closest atoms and distances in Å follow each position.
Fractional coordinates of all 8 atoms:
N: 0.3333 0.6667 0.2262  6 Ta 2.21-2.23
N: 0.3333 0.6667 0.7738  6 Ta 2.21-2.23
S: 0.0000 0.0000 0.0000  6 Ta 2.52
Ta: 0.6667 0.3333 0.1292  3 N 2.23
Ta: 0.0000 0.0000 0.3211  3 N 2.21
Ta: 0.0000 0.0000 0.6789  3 N 2.21
Ta: 0.6667 0.3333 0.8708  3 N 2.23
Tl: 0.6667 0.3333 0.5000  6 Ta 3.05, 6 Tl 3.08


No. 2
The following is a PBE-GGA calculation of crystalline DyY2FeCo8 at its relaxed geometry, from OQMD.

Results
Calculated total energy   -7.05 eV per atom
E_form   -0.1610 eV per atom
Spin magnetization   0.966 μB/atom

Cell lengths 8.4930, 8.4930, 8.4930 Å; angles 34.28, 34.28, 34.28 degrees
Closest atoms and distances in Å follow each position.
Fractional coordinates of all 12 atoms:
Co: 0.5823 0.5823 0.0797  6 Co 2.42-2.52, 1 Fe 2.51
Co: 0.3339 0.3339 0.3339  6 Co 2.42-2.43
Co: 0.9203 0.4177 0.4177  6 Co 2.42-2.52, 1 Fe 2.51
Co: 0.4177 0.9203 0.4177  6 Co 2.42-2.52, 1 Fe 2.51
Co: 0.0797 0.5823 0.5823  6 Co 2.42-2.52, 1 Fe 2.51
Co: 0.5823 0.0797 0.5823  6 Co 2.42-2.52, 1 Fe 2.51
Co: 0.6661 0.6661 0.6661  6 Co 2.42-2.43
Co: 0.4177 0.4177 0.9203  6 Co 2.42-2.52, 1 Fe 2.51
Dy: 0.0000 0.0000 0.0000  18 Co 2.89-3.17
Fe: 0.5000 0.5000 0.5000  6 Co 2.51
Y: 0.1395 0.1395 0.1395  9 Co 2.86-3.05, 3 Fe 2.96, 3 Y 3.17
Y: 0.8605 0.8605 0.8605  9 Co 2.86-3.05, 3 Fe 2.96, 3 Y 3.17


No. 3
The following is a PBE-GGA calculation of crystalline ZnIn2As at its relaxed geometry, from OQMD.

Results
Calculated total energy   -2.67 eV per atom

Cell lengths 5.0685, 5.0685, 5.0685 Å; angles 60.00, 60.00, 60.00 degrees
Closest atoms and distances in Å follow each position.
Fractional coordinates of all 4 atoms:
As: 0.7500 0.7500 0.7500  4 Zn 3.10, 4 In 3.10
In: 0.0000 0.0000 0.0000  4 As 3.10, 4 In 3.10
In: 0.2500 0.2500 0.2500  4 In 3.10, 4 Zn 3.10
Zn: 0.5000 0.5000 0.5000  4 As 3.10, 4 In 3.10


No. 4
The following is a PBE-GGA calculation of crystalline PrPaCu at its relaxed geometry, from OQMD.

Results
Calculated total energy   -5.49 eV per atom
E_form   0.5048 eV per atom
Spin magnetization   0.222 μB/atom

Cell lengths 4.8056, 4.8056, 4.8056 Å; angles 60.00, 60.00, 60.00 degrees
Closest atoms and distances in Å follow each position.
Fractional coordinates of all 3 atoms:
Cu: 0.0000 0.0000 0.0000  4 Pr 2.94, 4 Pa 2.94
Pa: 0.2500 0.2500 0.2500  4 Cu 2.94
Pr: 0.7500 0.7500 0.7500  4 Cu 2.94


No. 5
The following is a PBE-GGA calculation of crystalline UTeMo at its relaxed geometry, from OQMD.

Results
Polymorph energy (0 for the lowest one)   59 kJ/mol of formula units
Calculated total energy   -7.44 eV per atom
Spin magnetization   0.128 μB/atom

Cell lengths 4.7779, 4.7779, 4.7779 Å; angles 60.00, 60.00, 60.00 degrees
Closest atoms and distances in Å follow each position.
Fractional coordinates of all 3 atoms:
Mo: 0.2500 0.2500 0.2500  4 U 2.93
Te: 0.7500 0.7500 0.7500  4 U 2.93
U: 0.0000 0.0000 0.0000  4 Mo 2.93, 4 Te 2.93


No. 6
The following is a PBE-GGA calculation of crystalline NpB at its relaxed geometry, from OQMD.

Results
Polymorph energy (0 for the lowest one)   93 kJ/mol of formula units
Calculated total energy   -9.05 eV per atom
Spin magnetization   0.285 μB/atom

Cell lengths 2.6711, 2.6711, 4.2042 Å; angles 90.00, 90.00, 120.00 degrees
Closest atoms and distances in Å follow each position.
Fractional coordinates of all 2 atoms:
B: 0.6667 0.3333 0.7500  6 Np 2.61, 6 B 2.67
Np: 0.3333 0.6667 0.2500  6 B 2.61, 6 Np 2.67


No. 7
The following is a PBE-GGA calculation of crystalline Ta3NbGa2B2 at its relaxed geometry, from OQMD.

Results
Calculated total energy   -8.63 eV per atom
Spin magnetization   0.000 μB/atom

Cell lengths 3.1979, 3.1979, 13.6706 Å; angles 90.00, 90.00, 120.00 degrees
Closest atoms and distances in Å follow each position.
Fractional coordinates of all 8 atoms:
B: 0.3333 0.6667 0.5002  6 Ta 2.23
B: 0.3333 0.6667 0.9997  3 Ta 2.24, 3 Nb 2.24
Ga: 0.6667 0.3333 0.2500  3 Nb 2.84, 3 Ta 2.85
Ga: 0.0000 0.0000 0.7498  6 Ta 2.84
Nb: 0.0000 0.0000 0.0922  3 B 2.24
Ta: 0.0000 0.0000 0.4085  3 B 2.23
Ta: 0.6667 0.3333 0.5920  3 B 2.23
Ta: 0.6667 0.3333 0.9076  3 B 2.24


No. 8
The following is a PBE-GGA calculation of crystalline TaFeHgPb at its relaxed geometry, from OQMD.

Results
Polymorph energy (0 for the lowest one)   12 kJ/mol of formula units
Calculated total energy   -5.23 eV per atom
Spin magnetization   0.248 μB/atom

Cell lengths 4.7554, 4.7554, 4.7554 Å; angles 60.00, 60.00, 60.00 degrees
Closest atoms and distances in Å follow each position.
Fractional coordinates of all 4 atoms:
Fe: 0.7500 0.7500 0.7500  4 Ta 2.91, 4 Pb 2.91
Hg: 0.2500 0.2500 0.2500  4 Pb 2.91, 4 Ta 2.91
Pb: 0.0000 0.0000 0.0000  4 Hg 2.91, 4 Fe 2.91
Ta: 0.5000 0.5000 0.5000  4 Fe 2.91, 4 Hg 2.91


No. 9
The following is a PBE-GGA calculation of crystalline NdDyAlIr2 at its relaxed geometry, from OQMD.

Results
Calculated total energy   -7.02 eV per atom
Spin magnetization   0.000 μB/atom

Cell lengths 5.6365, 5.6365, 5.6365 Å; angles 136.92, 117.15, 79.24 degrees
Closest atoms and distances in Å follow each position.
Fractional coordinates of all 5 atoms:
Al: 0.0001 0.0001 0.0000  4 Ir 2.57
Dy: 0.3017 0.8017 0.5000  6 Ir 3.03-3.04, 2 Al 3.34
Ir: 0.7416 0.4999 0.2417  2 Al 2.57, 1 Ir 2.84
Ir: 0.2582 0.4999 0.7583  2 Al 2.57, 1 Ir 2.84
Nd: 0.6983 0.1983 0.5000  6 Ir 3.03-3.04, 2 Al 3.34